# Sc4Ag2N (PBE, relaxed)
# Formation energy without anion corrections ... -0.582 eV/atom
# Calculated total energy ... -6.204 eV/atom
# Total magnetization ... 1.8 μB/f.u.
# DOS at the Fermi energy ... 1.365 states/eV/atom
data_Sc4Ag2N
_chemical_formula_sum 'Sc8 Ag4 N2'
_cell_length_a 4.406
_cell_length_b 4.406
_cell_length_c 14.016
_cell_angle_alpha 90.00
_cell_angle_beta 90.00
_cell_angle_gamma 90.00
_space_group_name_H-M_alt 'I 4/m m m'
_space_group_IT_number 139
_space_group_name_Hall '-I 4 2'
loop_
_atom_site_label
_atom_site_type_symbol
_atom_site_fract_x
_atom_site_fract_y
_atom_site_fract_z
_atom_site_occupancy
Sc1 Sc 0.000 0.000 0.166 1
Sc2 Sc 0.000 0.500 0.000 1
Ag1 Ag 0.000 0.000 0.363 1
N1 N 0.000 0.000 0.000 1